(1)
A plane-wave DFT calculation with GGA-PBE was carried out for a relaxed Er6TlTe3P2 crystal.

a = 4.1254 Å, b = 8.6248 Å, c = 9.4650 Å
α = 103.92°, β = 102.59°, γ = 90.00°
Last column: nearest neighbours and their distance in Å.
Positions (direct):
Er (0.3327, 0.8842, 0.6654)  2 P 2.82, 1 Tl 3.01, 1 Te 3.03
Er (0.6765, 0.5632, 0.3530)  3 P 2.76-2.80
Er (0.6673, 0.1158, 0.3346)  2 P 2.82, 1 Tl 3.01, 1 Te 3.03
Er (0.0122, 0.2536, 0.0244)  1 P 2.81, 2 Tl 2.97, 2 Te 3.01
Er (0.9878, 0.7464, 0.9756)  1 P 2.81, 2 Tl 2.97, 2 Te 3.01
Er (0.3235, 0.4368, 0.6470)  3 P 2.76-2.80
Tl (0.5000, 0.0000, 0.0000)  6 Er 2.97-3.01
Te (0.5000, 0.5000, 0.0000)  6 Er 3.01-3.17
Te (0.8356, 0.1682, 0.6713)  6 Er 3.03-3.19
Te (0.1644, 0.8318, 0.3287)  6 Er 3.03-3.19
P (0.8306, 0.6602, 0.6612)  6 Er 2.76-2.82
P (0.1694, 0.3398, 0.3388)  6 Er 2.76-2.82

- E_form (uncorrected) (kJ/mol of atoms) = -120
- symmetry = No. 12
- calculated total energy (eV/atom) = -5.408
- total magnetic moment (μB/atom) = 0.000

=====

(2)
A plane-wave DFT calculation with GGA-PBE was carried out for a relaxed Sm2TlS crystal.

a = 3.9063 Å, b = 3.9063 Å, c = 8.5704 Å
α = 76.83°, β = 76.83°, γ = 60.00°
Last column: nearest neighbours and their distance in Å.
Positions (direct):
Sm (0.0657, 0.0657, 0.8029)  3 S 2.77
Sm (0.2672, 0.2672, 0.1982)  3 S 2.80
Tl (0.4997, 0.4997, 0.5010)  6 Sm 3.36-3.37
S (0.6674, 0.6674, 0.9978)  6 Sm 2.77-2.80

- E_form (uncorrected) (kJ/mol of atoms) = -111
- polymorph energy (0 for the lowest one) (eV per atom) = 0.0413
- symmetry = No. 160
- calculated total energy (eV/atom) = -5.131
- total magnetic moment (μB/atom) = 0.000

=====

(3)
A plane-wave DFT calculation with GGA-PBE was carried out for a relaxed Zr2Ag2Sb crystal.

a = 7.4574 Å, b = 7.4574 Å, c = 4.1470 Å
α = 90.00°, β = 90.00°, γ = 90.00°
Last column: nearest neighbours and their distance in Å.
Positions (direct):
Sb (0.0000, 0.0000, 0.0000)  4 Zr 2.83
Sb (0.5000, 0.5000, 0.0000)  4 Zr 2.83
Zr (0.3464, 0.8464, 0.0000)  2 Sb 2.83, 6 Ag 3.01-3.02
Zr (0.8464, 0.6536, 0.0000)  2 Sb 2.83, 6 Ag 3.01-3.02
Zr (0.6536, 0.1536, 0.0000)  2 Sb 2.83, 6 Ag 3.01-3.02
Zr (0.1536, 0.3464, 0.0000)  2 Sb 2.83, 6 Ag 3.01-3.02
Ag (0.1377, 0.6377, 0.5000)  1 Ag 2.91, 6 Zr 3.01-3.02
Ag (0.6377, 0.8623, 0.5000)  1 Ag 2.91, 6 Zr 3.01-3.02
Ag (0.8623, 0.3623, 0.5000)  1 Ag 2.91, 6 Zr 3.01-3.02
Ag (0.3623, 0.1377, 0.5000)  1 Ag 2.91, 6 Zr 3.01-3.02

- E_form (uncorrected) (kJ/mol of atoms) = 1
- polymorph energy (0 for the lowest one) (eV per atom) = 0.0536
- symmetry = No. 127
- calculated total energy (eV/atom) = -5.377
- total magnetic moment (μB/atom) = 0.000